No. 1
NdSm2ThSc4 | PBE | optimized geometry

```
NdSm2ThSc4
1.0
-1.947 4.628 0.542
-2.908 -0.746 -4.070
-9.416 -4.100 1.193
Sc Sm Nd Th
4 2 1 1
Direct
0.500 0.254 0.746
0.500 0.746 0.254
0.000 0.755 0.746
0.000 0.245 0.254
0.000 0.000 0.000
0.500 0.000 0.500
0.500 0.500 0.000
0.000 0.500 0.500
```

Summary:
Formation energy ... 0.042 eV/atom

No. 2
ZnInCl6 | PBE | optimized geometry

```
ZnInCl6
1.0
6.326 0.005 -0.007
3.153 5.491 0.023
3.139 1.843 5.584
Cl Zn In
6 1 1
Direct
0.919 0.590 0.247
0.590 0.246 0.245
0.410 0.754 0.755
0.755 0.080 0.755
0.245 0.920 0.245
0.081 0.410 0.753
0.000 0.000 0.000
0.500 0.500 0.500
```

Summary:
Formation energy (no corrections) ... -755 meV per atom

No. 3
CaTm2TaN4 | PBE | optimized geometry

```
CaTm2TaN4
1.0
3.371 0.000 0.000
-1.686 5.905 0.000
0.000 0.000 12.051
Tm Ca N Ta
4 2 8 2
Direct
0.371 0.741 0.531
0.371 0.741 0.969
0.629 0.259 0.469
0.629 0.259 0.031
0.890 0.780 0.250
0.110 0.220 0.750
0.255 0.510 0.380
0.559 0.119 0.250
0.000 0.000 0.500
0.000 0.000 0.000
0.745 0.490 0.620
0.441 0.881 0.750
0.745 0.490 0.880
0.255 0.510 0.120
0.156 0.313 0.250
0.844 0.687 0.750
```

Summary:
Formation energy (no corrections) ... -1311 meV per atom

No. 4
SmIn2Au | PBE | optimized geometry

```
SmIn2Au
1.0
4.623 0.000 0.000
0.000 4.550 0.000
0.000 0.000 4.550
Sm In Au
1 2 1
Direct
0.500 0.000 0.000
0.000 0.000 0.500
0.000 0.500 0.000
0.500 0.500 0.500
```

Summary:
Formation energy ... -0.503 eV/atom

No. 5
Ca3AgHg2 | PBE | optimized geometry

```
Ca3AgHg2
1.0
-1.835 1.959 -2.583
4.332 -0.097 -3.151
-4.751 -6.779 -1.767
Hg Ag Ca
2 1 3
Direct
0.000 0.666 0.333
0.000 0.334 0.667
0.000 0.000 0.000
0.500 0.165 0.330
0.500 0.500 0.000
0.500 0.835 0.670
```

Summary:
Relative energy among the computed polymorphs ... 0.006 eV/atom
Formation energy ... -0.468 eV/atom

No. 6
Mg3TiPb | PBE | optimized geometry

```
Mg3TiPb
1.0
5.354 0.000 0.000
0.000 5.354 0.000
0.000 0.000 5.354
Ti Mg Pb
1 3 1
Direct
0.000 0.000 0.000
0.000 0.000 0.500
0.000 0.500 0.000
0.500 0.000 0.000
0.500 0.500 0.500
```

Summary:
Relative energy among the computed polymorphs ... 0.000 eV/atom
Formation energy ... 0.834 eV/atom

No. 7
Y3HoTm4 | PBE | optimized geometry

```
Y3HoTm4
1.0
6.233 0.000 0.000
0.000 7.213 0.000
0.000 0.000 11.150
Y Tm Ho
6 8 2
Direct
0.482 0.373 0.750
0.646 0.627 0.000
0.982 0.627 0.750
0.482 0.373 0.250
0.982 0.627 0.250
0.146 0.373 0.500
0.980 0.123 0.249
0.649 0.123 0.000
0.150 0.878 0.000
0.980 0.123 0.751
0.480 0.877 0.251
0.149 0.877 0.500
0.650 0.122 0.500
0.480 0.877 0.749
0.146 0.372 0.000
0.646 0.628 0.500
```

Summary:
Relative energy among the computed polymorphs ... 0.000 eV/atom
Formation energy ... 0.000 eV/atom

No. 8
Tb2NdSb | PBE | optimized geometry

```
Tb2NdSb
1.0
-0.524 -0.625 3.953
-2.301 -3.062 1.271
6.773 -6.980 1.854
Tb Nd Sb
2 1 1
Direct
0.266 0.266 0.201
0.067 0.067 0.800
0.500 0.500 0.499
0.666 0.666 0.001
```

Summary:
Relative energy among the computed polymorphs ... 0.212 eV/atom
Formation energy (no corrections) ... -355 meV per atom

Number 1: total moment 0.000 μB per atom. Number 2: total moment 0.137 μB per atom. Number 3: total moment 0.000 μB per atom. Number 4: total moment 0.000 μB per atom. Number 5: total moment 0.000 μB per atom. Number 6: total moment 0.537 μB per atom. Number 7: total moment 0.000 μB per atom. Number 8: total moment 0.156 μB per atom.